NdSm2ErSe6: relaxed, GGA-PBE.

Lattice parameters (Å, degrees): 7.352 7.352 7.809 61.91 61.91 59.99
Element x y z (fractional)
Nd 0.315 0.315 0.056
Sm 0.515 0.515 0.455
Sm 0.018 0.018 0.945
Er 0.819 0.819 0.543
Se 0.620 0.213 0.255
Se 0.213 0.912 0.255
Se 0.912 0.620 0.255
Se 0.428 0.717 0.751
Se 0.717 0.103 0.751
Se 0.103 0.429 0.751

Computed properties:
For the theoretical density, the calculation gives 5878 kg/m³. Its space group is R3, No. 146. The calculation puts the final energy at -58.07 eV/cell. As for the density of states at the Fermi level: 0.000 states/eV/atom.